DFT (GGA-PBE) results for a relaxed structure of MnSbAsSe2.

```
MnSbAsSe2
1.0
4.8104 0.0000 0.0000
0.0000 4.8104 0.0000
0.0000 0.0000 4.5466
Mn Se Sb As
1 2 1 1
direct
0.0000 0.0000 0.0000
0.0000 0.5000 0.0000
0.5000 0.0000 0.0000
0.5000 0.5000 0.5000
0.0000 0.0000 0.5000
```

Output
- density of states at the Fermi level (states/eV/f.u.) = 6.587
- size of the total moment (μB per formula unit) = 0.00
- polymorph energy (0 for the lowest one) (kJ/mol of formula units) = 0.0